Compound: Ba3SbN
Source: the Alexandria database
Functional: SCAN
Structure: single point on PBEsol structure

Properties
The calculation puts the total magnetic moment at 0.00 μB per formula unit. The value obtained for the calculated density is 5.5 g/cm³. The uncorrected formation energy comes out at -4.6 eV per formula unit. The density of states at the Fermi level comes out at 0.12 states/eV/atom. The total energy is -33.9641 eV per atom. As for the symmetry: Pm-3m, No. 221.

Cell lengths 5.479, 5.479, 5.479 Å; angles 90.00, 90.00, 90.00 degrees
Fractional coordinates of all 5 atoms:
Ba  0.500  0.000  0.000
Ba  0.000  0.500  0.000
Ba  0.000  0.000  0.500
N  0.000  0.000  0.000
Sb  0.500  0.500  0.500